LiCd2Rh | GGA-PBEsol | optimized geometry

Properties
Total magnetization (μB per formula unit): 0.00
Energy relative to the elements (eV/atom): -0.18
Density (g/cm³): 8.5

Lattice parameters (Å, degrees): 3.1510 4.5395 5.1176 109.47 107.93 90.00
Closest atoms and distances in Å follow each position.
Atoms (fractional coordinates):
Rh 0.7570 0.2294 0.5140  2 Li 2.67, 7 Cd 2.75-2.88
Cd 0.0104 0.0412 0.0208  4 Li 2.72-2.83, 3 Rh 2.75-2.88, 2 Cd 2.94
Cd 0.2455 0.7205 0.4911  4 Rh 2.76-2.77, 3 Li 2.84, 2 Cd 2.94
Li 0.4871 0.5089 0.9742  2 Rh 2.67, 7 Cd 2.72-2.84

=====

ZrTaIn | GGA-PBEsol | optimized geometry

Properties
Total magnetization (μB per formula unit): 0.00
Energy relative to the elements (eV/atom): -0.05
Density (g/cm³): 10.7

Lattice parameters (Å, degrees): 2.9677 2.9677 7.1506 101.98 101.98 89.97
Closest atoms and distances in Å follow each position.
Atoms (fractional coordinates):
Ta 0.6670 0.6670 0.3340  4 Ta 2.97, 4 Zr 3.05, 4 In 3.06
In 0.0043 0.0043 0.0086  4 In 2.97, 4 Ta 3.06, 4 Zr 3.19
Zr 0.3287 0.3287 0.6574  4 Zr 2.97, 4 Ta 3.05, 4 In 3.19

=====

CaSmB12 | GGA-PBEsol | optimized geometry

Properties
Total magnetization (μB per formula unit): 0.00
Energy relative to the elements (eV/atom): -0.45
Density (g/cm³): 3.8

Lattice parameters (Å, degrees): 4.1069 4.1069 8.2296 90.00 90.00 90.00
Closest atoms and distances in Å follow each position.
Atoms (fractional coordinates):
Ca 0.0000 0.0000 0.0000  24 B 3.02-3.03
B 0.7998 0.5000 0.7492  5 B 1.64-1.74
B 0.5000 0.5000 0.8993  5 B 1.66-1.74
B 0.5000 0.5000 0.5996  5 B 1.64-1.74
B 0.5000 0.2002 0.2507  5 B 1.64-1.74
B 0.5000 0.5000 0.4003  5 B 1.64-1.74
B 0.2002 0.5000 0.2507  5 B 1.64-1.74
B 0.5000 0.5000 0.1006  5 B 1.66-1.74
B 0.2002 0.5000 0.7492  5 B 1.64-1.74
B 0.7998 0.5000 0.2507  5 B 1.64-1.74
B 0.5000 0.7998 0.2507  5 B 1.64-1.74
B 0.5000 0.7998 0.7492  5 B 1.64-1.74
B 0.5000 0.2002 0.7492  5 B 1.64-1.74
Sm 0.0000 0.0000 0.5000  24 B 3.02

=====

Ca2AlMo | GGA-PBEsol | optimized geometry

Properties
Total magnetization (μB per formula unit): 0.00
Energy relative to the elements (eV/atom): 0.45
Density (g/cm³): 4.0

Lattice parameters (Å, degrees): 2.9258 2.9258 9.9231 90.00 90.00 90.87
Closest atoms and distances in Å follow each position.
Atoms (fractional coordinates):
Ca 0.0000 0.0000 0.2517  4 Ca 2.93, 4 Mo 3.21-3.23, 4 Al 3.23-3.25
Ca 0.0000 0.0000 0.7483  4 Ca 2.93, 4 Mo 3.21-3.23, 4 Al 3.23-3.25
Al 0.5000 0.5000 0.0000  4 Al 2.93, 8 Ca 3.23-3.25
Mo 0.5000 0.5000 0.5000  4 Mo 2.93, 8 Ca 3.21-3.23